Computed, not measured: a relaxed Ac3WO7 crystal at the PBE with a Hubbard U level of DFT.

Values from the calculation:
SG	C222_1
spin magnetization	2.0	μB per cell
raw total energy	-175.41	eV for the cell shown

abc: 6.976 6.976 8.068
angles: 90.00 90.00 109.83
Site moments in Bohr magnetons follow the coordinates.
Sites, in units of the cell vectors:
1 O 0.371 0.629 0.250  0.00
2 Ac 0.531 0.999 0.250  0.01
3 W 0.000 0.000 0.500  0.97
4 O 0.696 0.931 0.976  0.01
5 O 0.304 0.069 0.476  0.01
6 Ac 0.469 0.001 0.750  0.01
7 O 0.696 0.932 0.525  0.01
8 O 0.629 0.371 0.750  0.00
9 O 0.632 0.368 0.250  0.00
10 Ac 0.999 0.531 0.750  0.01
11 O 0.931 0.696 0.024  0.01
12 O 0.069 0.304 0.524  0.01
13 O 0.304 0.068 0.025  0.01
14 O 0.932 0.696 0.475  0.01
15 O 0.054 0.946 0.750  0.01
16 Ac 0.499 0.499 0.500  0.00
17 Ac 0.501 0.501 0.000  0.00
18 W 0.000 0.000 0.000  0.97
19 O 0.368 0.632 0.750  0.00
20 O 0.946 0.054 0.250  0.01
21 O 0.068 0.304 0.975  0.01
22 Ac 0.001 0.469 0.250  0.01